--- w ---
Pm2Te2N (PBE, relaxed); volume = 281 Å³ per cell; symmetry = No. 72
1.0
-3.798 6.028 3.074
3.798 -6.028 3.074
3.798 6.028 -3.074
Pm Te N
4 4 2
direct
0.090 0.178 0.268
0.410 0.678 0.088
0.590 0.322 0.912
0.910 0.822 0.732
0.145 0.610 0.755
0.355 0.110 0.465
0.645 0.890 0.535
0.855 0.390 0.245
0.250 0.250 0.000
0.750 0.750 0.000



--- x ---
Pm2Te2N (PBE, relaxed); volume = 274 Å³ per cell; symmetry = No. 36
1.0
2.128 -7.818 0.000
2.128 7.818 0.000
0.000 0.000 8.223
Pm Te N
4 4 2
direct
0.053 0.947 0.500
0.360 0.640 0.352
0.640 0.360 0.852
0.947 0.053 0.000
0.283 0.717 0.010
0.441 0.559 0.700
0.559 0.441 0.200
0.717 0.283 0.510
0.079 0.921 0.811
0.921 0.079 0.311



In terms of stability, w leads; the second structure lies 155 meV/atom higher.



--- w ---
Pm7Tl3N2 (PBE, relaxed); volume = 310 Å³ per cell; symmetry = No. 65
1.0
2.517 -12.495 0.000
2.517 12.495 0.000
0.000 0.000 4.924
Pm Tl N
7 3 2
direct
0.000 0.000 0.000
0.096 0.904 0.500
0.199 0.801 0.000
0.398 0.602 0.000
0.602 0.398 0.000
0.801 0.199 0.000
0.904 0.096 0.500
0.307 0.693 0.500
0.500 0.500 0.500
0.693 0.307 0.500
0.101 0.899 0.000
0.899 0.101 0.000



--- x ---
Pm7Tl3N2 (PBE, relaxed); volume = 320 Å³ per cell; symmetry = No. 139
1.0
-2.477 2.477 13.052
2.477 -2.477 13.052
2.477 2.477 -13.052
Pm Tl N
7 3 2
direct
0.000 0.000 0.000
0.096 0.596 0.500
0.197 0.197 0.000
0.404 0.904 0.500
0.596 0.096 0.500
0.803 0.803 0.000
0.904 0.404 0.500
0.320 0.320 0.000
0.500 0.500 0.000
0.680 0.680 0.000
0.098 0.098 0.000
0.902 0.902 0.000



In terms of stability, w leads; the second structure lies 10 meV/atom higher.